# PBE Cs2AgO2, relaxed
# SG: No. 139
# M_tot: 1.00 μB per cell
# offset from the most stable computed form: 0.000 eV per atom
data_Cs2AgO2
_cell_length_a 4.4066
_cell_length_b 4.4066
_cell_length_c 7.9854
_cell_angle_alpha 106.02
_cell_angle_beta 106.02
_cell_angle_gamma 90.00
_symmetry_space_group_name_H-M 'P 1'
_symmetry_Int_Tables_number 1
loop_
_symmetry_equiv_pos_as_xyz
'x,y,z'
loop_
_atom_site_label
_atom_site_type_symbol
_atom_site_fract_x
_atom_site_fract_y
_atom_site_fract_z
Cs1 Cs 0.6553 0.6553 0.3107
Cs2 Cs 0.3447 0.3447 0.6893
Ag1 Ag 0.0000 0.0000 0.0000
O1 O 0.1347 0.1347 0.2693
O2 O 0.8653 0.8653 0.7307

# PBE AlTePI2, relaxed
# SG: No. 123
# M_tot: 1.78 μB per cell
# offset from the most stable computed form: 0.211 eV per atom
data_AlTePI2
_cell_length_a 5.4386
_cell_length_b 5.4386
_cell_length_c 5.6968
_cell_angle_alpha 90.00
_cell_angle_beta 90.00
_cell_angle_gamma 90.00
_symmetry_space_group_name_H-M 'P 1'
_symmetry_Int_Tables_number 1
loop_
_symmetry_equiv_pos_as_xyz
'x,y,z'
loop_
_atom_site_label
_atom_site_type_symbol
_atom_site_fract_x
_atom_site_fract_y
_atom_site_fract_z
P1 P 0.5000 0.5000 0.5000
I1 I 0.5000 0.0000 0.0000
Te1 Te 0.0000 0.0000 0.5000
I2 I 0.0000 0.5000 0.0000
Al1 Al 0.0000 0.0000 0.0000

# PBE CrCuRe2, relaxed
# SG: No. 65
# calculated formation energy: 1.15 eV per formula unit
# M_tot: 0.00 μB per cell
# offset from the most stable computed form: 0.063 eV per atom
data_CrCuRe2
_cell_length_a 4.6441
_cell_length_b 4.6441
_cell_length_c 2.6631
_cell_angle_alpha 90.00
_cell_angle_beta 90.00
_cell_angle_gamma 109.77
_symmetry_space_group_name_H-M 'P 1'
_symmetry_Int_Tables_number 1
loop_
_symmetry_equiv_pos_as_xyz
'x,y,z'
loop_
_atom_site_label
_atom_site_type_symbol
_atom_site_fract_x
_atom_site_fract_y
_atom_site_fract_z
Re1 Re 0.5000 0.5000 0.0000
Cu1 Cu 0.0000 0.5000 0.5000
Re2 Re 0.0000 0.0000 0.0000
Cr1 Cr 0.5000 0.0000 0.5000

# PBE BaSbPt4, relaxed
# SG: No. 216
# M_tot: 0.00 μB per cell
# E: -32.3 eV per cell
data_BaSbPt4
_cell_length_a 5.5756
_cell_length_b 5.5756
_cell_length_c 5.5756
_cell_angle_alpha 60.00
_cell_angle_beta 60.00
_cell_angle_gamma 60.00
_symmetry_space_group_name_H-M 'P 1'
_symmetry_Int_Tables_number 1
loop_
_symmetry_equiv_pos_as_xyz
'x,y,z'
loop_
_atom_site_label
_atom_site_type_symbol
_atom_site_fract_x
_atom_site_fract_y
_atom_site_fract_z
Pt1 Pt 0.3757 0.3757 0.3757
Pt2 Pt 0.3757 0.3757 0.8728
Sb1 Sb 0.7500 0.7500 0.7500
Ba1 Ba 0.0000 0.0000 0.0000
Pt3 Pt 0.3757 0.8728 0.3757
Pt4 Pt 0.8728 0.3757 0.3757

# PBE PmDy6Er12, relaxed
# SG: No. 148
# calculated formation energy: 3.05 eV per formula unit
# M_tot: 0.00 μB per cell
# offset from the most stable computed form: 0.000 eV per atom
data_PmDy6Er12
_cell_length_a 8.4657
_cell_length_b 8.4657
_cell_length_c 8.4657
_cell_angle_alpha 88.35
_cell_angle_beta 88.35
_cell_angle_gamma 88.35
_symmetry_space_group_name_H-M 'P 1'
_symmetry_Int_Tables_number 1
loop_
_symmetry_equiv_pos_as_xyz
'x,y,z'
loop_
_atom_site_label
_atom_site_type_symbol
_atom_site_fract_x
_atom_site_fract_y
_atom_site_fract_z
Pm1 Pm 0.0000 0.0000 0.0000
Er1 Er 0.2277 0.4555 0.5636
Dy1 Dy 0.6855 0.2559 0.0905
Er2 Er 0.5636 0.2277 0.4555
Er3 Er 0.9914 0.7873 0.6458
Er4 Er 0.0086 0.2127 0.3542
Er5 Er 0.7873 0.6458 0.9914
Dy2 Dy 0.0905 0.6855 0.2559
Er6 Er 0.4364 0.7723 0.5445
Er7 Er 0.6458 0.9914 0.7873
Dy3 Dy 0.2559 0.0905 0.6855
Er8 Er 0.4555 0.5636 0.2277
Dy4 Dy 0.9095 0.3145 0.7441
Er9 Er 0.2127 0.3542 0.0086
Er10 Er 0.3542 0.0086 0.2127
Dy5 Dy 0.3145 0.7441 0.9095
Er11 Er 0.5445 0.4364 0.7723
Er12 Er 0.7723 0.5445 0.4364
Dy6 Dy 0.7441 0.9095 0.3145

# PBE SbPb2Se2, relaxed
# SG: No. 127
# M_tot: 0.00 μB per cell
# offset from the most stable computed form: 0.081 eV per atom
data_SbPb2Se2
_cell_length_a 8.4973
_cell_length_b 8.4973
_cell_length_c 3.9364
_cell_angle_alpha 90.00
_cell_angle_beta 90.00
_cell_angle_gamma 90.00
_symmetry_space_group_name_H-M 'P 1'
_symmetry_Int_Tables_number 1
loop_
_symmetry_equiv_pos_as_xyz
'x,y,z'
loop_
_atom_site_label
_atom_site_type_symbol
_atom_site_fract_x
_atom_site_fract_y
_atom_site_fract_z
Sb1 Sb 0.5000 0.5000 0.0000
Se1 Se 0.1637 0.6637 0.5000
Se2 Se 0.6637 0.8363 0.5000
Pb1 Pb 0.1521 0.3479 0.0000
Pb2 Pb 0.8479 0.6521 0.0000
Sb2 Sb 0.0000 0.0000 0.0000
Se3 Se 0.8363 0.3363 0.5000
Pb3 Pb 0.3479 0.8479 0.0000
Se4 Se 0.3363 0.1637 0.5000
Pb4 Pb 0.6521 0.1521 0.0000

# PBE Na3ReBr2Cl6, relaxed
# SG: No. 12
# M_tot: 2.00 μB per cell
# E: -43.7 eV per cell
data_Na3ReBr2Cl6
_cell_length_a 5.9377
_cell_length_b 8.1495
_cell_length_c 8.2996
_cell_angle_alpha 119.40
_cell_angle_beta 92.39
_cell_angle_gamma 90.00
_symmetry_space_group_name_H-M 'P 1'
_symmetry_Int_Tables_number 1
loop_
_symmetry_equiv_pos_as_xyz
'x,y,z'
loop_
_atom_site_label
_atom_site_type_symbol
_atom_site_fract_x
_atom_site_fract_y
_atom_site_fract_z
Cl1 Cl 0.2737 0.7262 0.8582
Cl2 Cl 0.7263 0.2738 0.1418
Cl3 Cl 0.7263 0.8680 0.1418
Cl4 Cl 0.7285 0.8718 0.7437
Re1 Re 0.5000 0.0000 0.0000
Br1 Br 0.7818 0.3253 0.6506
Na1 Na 0.0000 0.5000 0.0000
Br2 Br 0.2182 0.6747 0.3494
Cl5 Cl 0.2715 0.1282 0.2563
Cl6 Cl 0.2737 0.1320 0.8582
Na2 Na 0.5000 0.5000 0.5000
Na3 Na 0.5000 0.0000 0.5000

# PBE KBaTc2B, relaxed
# SG: No. 123
# calculated formation energy: 13.15 eV per formula unit
# M_tot: 4.90 μB per cell
# offset from the most stable computed form: 1.781 eV per atom
data_KBaTc2B
_cell_length_a 5.3868
_cell_length_b 5.3978
_cell_length_c 5.3868
_cell_angle_alpha 90.00
_cell_angle_beta 90.00
_cell_angle_gamma 90.00
_symmetry_space_group_name_H-M 'P 1'
_symmetry_Int_Tables_number 1
loop_
_symmetry_equiv_pos_as_xyz
'x,y,z'
loop_
_atom_site_label
_atom_site_type_symbol
_atom_site_fract_x
_atom_site_fract_y
_atom_site_fract_z
B1 B 0.0000 0.5000 0.0000
Tc1 Tc 0.5000 0.0000 0.0000
Tc2 Tc 0.0000 0.0000 0.5000
Ba1 Ba 0.0000 0.0000 0.0000
K1 K 0.5000 0.5000 0.5000